1.
Material: CaMo2Os
Method: DFT, PBE
State: relaxed

Computed properties:
Space-group type   P2/m (10)
Energy relative to the elements   56 kJ/mol of atoms
Density of states at the Fermi level   4.0 states/eV/f.u.
Energy   -8.147 eV per atom

Geometry as CIF:
```
data_CaMo2Os
_symmetry_space_group_name_H-M 'P 1'
_symmetry_Int_Tables_number 1
_cell_length_a 4.555
_cell_length_b 2.799
_cell_length_c 5.544
_cell_angle_alpha 78.79
_cell_angle_beta 90.00
_cell_angle_gamma 90.00
loop_
_symmetry_equiv_pos_as_xyz
'x,y,z'
loop_
_atom_site_label
_atom_site_type_symbol
_atom_site_fract_x
_atom_site_fract_y
_atom_site_fract_z
Mo1 Mo 0.000 0.506 0.472
Mo2 Mo 0.000 0.994 0.028
Os1 Os 0.500 0.250 0.250
Ca1 Ca 0.500 0.750 0.750
```


2.
Material: CaMo2Os
Method: DFT, PBE
State: relaxed

Computed properties:
Space-group type   Pmmm (47)
Energy relative to the elements   64 kJ/mol of atoms
Density of states at the Fermi level   4.1 states/eV/f.u.
Energy   -8.064 eV per atom

Geometry as CIF:
```
data_CaMo2Os
_symmetry_space_group_name_H-M 'P 1'
_symmetry_Int_Tables_number 1
_cell_length_a 3.139
_cell_length_b 4.596
_cell_length_c 4.728
_cell_angle_alpha 90.00
_cell_angle_beta 90.00
_cell_angle_gamma 90.00
loop_
_symmetry_equiv_pos_as_xyz
'x,y,z'
loop_
_atom_site_label
_atom_site_type_symbol
_atom_site_fract_x
_atom_site_fract_y
_atom_site_fract_z
Mo1 Mo 0.500 0.500 0.000
Mo2 Mo 0.000 0.000 0.000
Os1 Os 0.500 0.000 0.500
Ca1 Ca 0.000 0.500 0.500
```


3.
Material: Ca3MoOs
Method: DFT, PBE
State: relaxed

Computed properties:
Space-group type   Pm-3m (221)
Energy relative to the elements   167 kJ/mol of atoms
Density of states at the Fermi level   8.1 states/eV/f.u.
Energy   -3.877 eV per atom

Geometry as CIF:
```
data_Ca3MoOs
_symmetry_space_group_name_H-M 'P 1'
_symmetry_Int_Tables_number 1
_cell_length_a 5.262
_cell_length_b 5.262
_cell_length_c 5.262
_cell_angle_alpha 90.00
_cell_angle_beta 90.00
_cell_angle_gamma 90.00
loop_
_symmetry_equiv_pos_as_xyz
'x,y,z'
loop_
_atom_site_label
_atom_site_type_symbol
_atom_site_fract_x
_atom_site_fract_y
_atom_site_fract_z
Ca1 Ca 0.000 0.500 0.000
Ca2 Ca 0.500 0.000 0.000
Ca3 Ca 0.000 0.000 0.500
Mo1 Mo 0.000 0.000 0.000
Os1 Os 0.500 0.500 0.500
```


4.
Material: CaMoOs2
Method: DFT, PBE
State: relaxed

Computed properties:
Space-group type   P4/mmm (123)
Energy relative to the elements   53 kJ/mol of atoms
Density of states at the Fermi level   1.7 states/eV/f.u.
Energy   -8.278 eV per atom

Geometry as CIF:
```
data_CaMoOs2
_symmetry_space_group_name_H-M 'P 1'
_symmetry_Int_Tables_number 1
_cell_length_a 4.594
_cell_length_b 4.594
_cell_length_c 3.144
_cell_angle_alpha 90.00
_cell_angle_beta 90.00
_cell_angle_gamma 90.01
loop_
_symmetry_equiv_pos_as_xyz
'x,y,z'
loop_
_atom_site_label
_atom_site_type_symbol
_atom_site_fract_x
_atom_site_fract_y
_atom_site_fract_z
Ca1 Ca 0.500 0.000 0.500
Os1 Os 0.500 0.500 0.000
Os2 Os 0.000 0.000 0.000
Mo1 Mo 0.000 0.500 0.500
```


5.
Material: CaMo2Os
Method: DFT, PBE
State: relaxed

Computed properties:
Space-group type   Fm-3m (225)
Energy relative to the elements   59 kJ/mol of atoms
Density of states at the Fermi level   3.4 states/eV/f.u.
Energy   -8.112 eV per atom

Geometry as CIF:
```
data_CaMo2Os
_symmetry_space_group_name_H-M 'P 1'
_symmetry_Int_Tables_number 1
_cell_length_a 4.554
_cell_length_b 4.554
_cell_length_c 4.554
_cell_angle_alpha 60.00
_cell_angle_beta 60.00
_cell_angle_gamma 60.00
loop_
_symmetry_equiv_pos_as_xyz
'x,y,z'
loop_
_atom_site_label
_atom_site_type_symbol
_atom_site_fract_x
_atom_site_fract_y
_atom_site_fract_z
Mo1 Mo 0.750 0.750 0.750
Mo2 Mo 0.250 0.250 0.250
Os1 Os 0.500 0.500 0.500
Ca1 Ca 0.000 0.000 0.000
```


6.
Material: CaMo2Os
Method: DFT, PBE
State: relaxed

Computed properties:
Space-group type   Immm (71)
Energy relative to the elements   47 kJ/mol of atoms
Density of states at the Fermi level   2.6 states/eV/f.u.
Energy   -8.238 eV per atom

Geometry as CIF:
```
data_CaMo2Os
_symmetry_space_group_name_H-M 'P 1'
_symmetry_Int_Tables_number 1
_cell_length_a 5.543
_cell_length_b 5.543
_cell_length_c 5.543
_cell_angle_alpha 147.29
_cell_angle_beta 130.01
_cell_angle_gamma 61.03
loop_
_symmetry_equiv_pos_as_xyz
'x,y,z'
loop_
_atom_site_label
_atom_site_type_symbol
_atom_site_fract_x
_atom_site_fract_y
_atom_site_fract_z
Mo1 Mo 0.980 0.980 0.000
Mo2 Mo 0.520 0.520 0.000
Os1 Os 0.750 0.250 0.500
Ca1 Ca 0.250 0.750 0.500
```


7.
Material: CaMoOs2
Method: DFT, PBE
State: relaxed

Computed properties:
Space-group type   Fm-3m (225)
Energy relative to the elements   44 kJ/mol of atoms
Density of states at the Fermi level   1.2 states/eV/f.u.
Energy   -8.371 eV per atom

Geometry as CIF:
```
data_CaMoOs2
_symmetry_space_group_name_H-M 'P 1'
_symmetry_Int_Tables_number 1
_cell_length_a 4.534
_cell_length_b 4.534
_cell_length_c 4.534
_cell_angle_alpha 60.00
_cell_angle_beta 60.00
_cell_angle_gamma 60.00
loop_
_symmetry_equiv_pos_as_xyz
'x,y,z'
loop_
_atom_site_label
_atom_site_type_symbol
_atom_site_fract_x
_atom_site_fract_y
_atom_site_fract_z
Mo1 Mo 0.500 0.500 0.500
Ca1 Ca 0.000 0.000 0.000
Os1 Os 0.250 0.250 0.250
Os2 Os 0.750 0.750 0.750
```


8.
Material: CaMo2Os
Method: DFT, PBE
State: relaxed

Computed properties:
Space-group type   P4/mmm (123)
Energy relative to the elements   76 kJ/mol of atoms
Density of states at the Fermi level   4.2 states/eV/f.u.
Energy   -7.939 eV per atom

Geometry as CIF:
```
data_CaMo2Os
_symmetry_space_group_name_H-M 'P 1'
_symmetry_Int_Tables_number 1
_cell_length_a 4.764
_cell_length_b 4.764
_cell_length_c 2.977
_cell_angle_alpha 90.00
_cell_angle_beta 90.00
_cell_angle_gamma 90.00
loop_
_symmetry_equiv_pos_as_xyz
'x,y,z'
loop_
_atom_site_label
_atom_site_type_symbol
_atom_site_fract_x
_atom_site_fract_y
_atom_site_fract_z
Mo1 Mo 0.000 0.000 0.000
Mo2 Mo 0.500 0.500 0.000
Ca1 Ca 0.000 0.500 0.500
Os1 Os 0.500 0.000 0.500
```


9.
Material: CaMo2Os
Method: DFT, PBE
State: relaxed

Computed properties:
Space-group type   I-42d (122)
Energy relative to the elements   80 kJ/mol of atoms
Density of states at the Fermi level   1.8 states/eV/f.u.
Energy   -7.890 eV per atom

Geometry as CIF:
```
data_CaMo2Os
_symmetry_space_group_name_H-M 'P 1'
_symmetry_Int_Tables_number 1
_cell_length_a 7.641
_cell_length_b 7.641
_cell_length_c 6.092
_cell_angle_alpha 51.16
_cell_angle_beta 51.16
_cell_angle_gamma 90.00
loop_
_symmetry_equiv_pos_as_xyz
'x,y,z'
loop_
_atom_site_label
_atom_site_type_symbol
_atom_site_fract_x
_atom_site_fract_y
_atom_site_fract_z
Ca1 Ca 0.250 0.750 0.500
Ca2 Ca 0.500 0.500 0.000
Mo1 Mo 0.875 0.940 0.750
Mo2 Mo 0.375 0.310 0.750
Mo3 Mo 0.060 0.625 0.250
Mo4 Mo 0.690 0.125 0.250
Os1 Os 0.750 0.250 0.500
Os2 Os 0.000 0.000 0.000
```


10.
Material: CaMo2Os
Method: DFT, PBE
State: relaxed

Computed properties:
Space-group type   Pmmm (47)
Energy relative to the elements   53 kJ/mol of atoms
Density of states at the Fermi level   3.9 states/eV/f.u.
Energy   -8.172 eV per atom

Geometry as CIF:
```
data_CaMo2Os
_symmetry_space_group_name_H-M 'P 1'
_symmetry_Int_Tables_number 1
_cell_length_a 2.879
_cell_length_b 3.749
_cell_length_c 7.231
_cell_angle_alpha 90.00
_cell_angle_beta 90.00
_cell_angle_gamma 90.00
loop_
_symmetry_equiv_pos_as_xyz
'x,y,z'
loop_
_atom_site_label
_atom_site_type_symbol
_atom_site_fract_x
_atom_site_fract_y
_atom_site_fract_z
Mo1 Mo 0.000 0.000 0.073
Mo2 Mo 0.000 0.000 0.427
Ca1 Ca 0.500 0.500 0.750
Os1 Os 0.500 0.500 0.250
```


11.
Material: CaMoOs2
Method: DFT, PBE
State: relaxed

Computed properties:
Space-group type   Imm2 (44)
Energy relative to the elements   45 kJ/mol of atoms
Density of states at the Fermi level   3.1 states/eV/f.u.
Energy   -8.360 eV per atom

Geometry as CIF:
```
data_CaMoOs2
_symmetry_space_group_name_H-M 'P 1'
_symmetry_Int_Tables_number 1
_cell_length_a 5.905
_cell_length_b 5.905
_cell_length_c 5.905
_cell_angle_alpha 152.34
_cell_angle_beta 132.14
_cell_angle_gamma 56.17
loop_
_symmetry_equiv_pos_as_xyz
'x,y,z'
loop_
_atom_site_label
_atom_site_type_symbol
_atom_site_fract_x
_atom_site_fract_y
_atom_site_fract_z
Mo1 Mo 0.215 0.715 0.500
Ca1 Ca 0.505 0.505 0.000
Os1 Os 0.787 0.287 0.500
Os2 Os 0.993 0.993 0.000
```


12.
Material: CaMoOs2
Method: DFT, PBE
State: relaxed

Computed properties:
Space-group type   Pmmm (47)
Energy relative to the elements   72 kJ/mol of atoms
Density of states at the Fermi level   4.3 states/eV/f.u.
Energy   -8.077 eV per atom

Geometry as CIF:
```
data_CaMoOs2
_symmetry_space_group_name_H-M 'P 1'
_symmetry_Int_Tables_number 1
_cell_length_a 2.986
_cell_length_b 4.780
_cell_length_c 4.620
_cell_angle_alpha 90.00
_cell_angle_beta 90.00
_cell_angle_gamma 90.00
loop_
_symmetry_equiv_pos_as_xyz
'x,y,z'
loop_
_atom_site_label
_atom_site_type_symbol
_atom_site_fract_x
_atom_site_fract_y
_atom_site_fract_z
Mo1 Mo 0.000 0.500 0.500
Os1 Os 0.500 0.500 0.000
Os2 Os 0.000 0.000 0.000
Ca1 Ca 0.500 0.000 0.500
```


13.
Material: CaMoOs2
Method: DFT, PBE
State: relaxed

Computed properties:
Space-group type   I-4m2 (119)
Energy relative to the elements   78 kJ/mol of atoms
Density of states at the Fermi level   5.4 states/eV/f.u.
Energy   -8.018 eV per atom

Geometry as CIF:
```
data_CaMoOs2
_symmetry_space_group_name_H-M 'P 1'
_symmetry_Int_Tables_number 1
_cell_length_a 5.194
_cell_length_b 5.194
_cell_length_c 5.194
_cell_angle_alpha 135.71
_cell_angle_beta 135.71
_cell_angle_gamma 64.42
loop_
_symmetry_equiv_pos_as_xyz
'x,y,z'
loop_
_atom_site_label
_atom_site_type_symbol
_atom_site_fract_x
_atom_site_fract_y
_atom_site_fract_z
Os1 Os 0.000 0.000 0.000
Os2 Os 0.250 0.750 0.500
Mo1 Mo 0.750 0.250 0.500
Ca1 Ca 0.500 0.500 0.000
```


14.
Material: CaMo2Os
Method: DFT, PBE
State: relaxed

Computed properties:
Space-group type   I4/mmm (139)
Energy relative to the elements   78 kJ/mol of atoms
Density of states at the Fermi level   4.1 states/eV/f.u.
Energy   -7.916 eV per atom

Geometry as CIF:
```
data_CaMo2Os
_symmetry_space_group_name_H-M 'P 1'
_symmetry_Int_Tables_number 1
_cell_length_a 5.352
_cell_length_b 5.352
_cell_length_c 5.352
_cell_angle_alpha 137.36
_cell_angle_beta 137.36
_cell_angle_gamma 61.89
loop_
_symmetry_equiv_pos_as_xyz
'x,y,z'
loop_
_atom_site_label
_atom_site_type_symbol
_atom_site_fract_x
_atom_site_fract_y
_atom_site_fract_z
Ca1 Ca 0.750 0.250 0.500
Os1 Os 0.250 0.750 0.500
Mo1 Mo 0.000 0.000 0.000
Mo2 Mo 0.500 0.500 0.000
```


15.
Material: CaMo2Os
Method: DFT, PBE
State: relaxed

Computed properties:
Space-group type   P4mm (99)
Energy relative to the elements   44 kJ/mol of atoms
Density of states at the Fermi level   3.9 states/eV/f.u.
Energy   -8.267 eV per atom

Geometry as CIF:
```
data_CaMo2Os
_symmetry_space_group_name_H-M 'P 1'
_symmetry_Int_Tables_number 1
_cell_length_a 3.183
_cell_length_b 3.183
_cell_length_c 7.321
_cell_angle_alpha 90.00
_cell_angle_beta 90.00
_cell_angle_gamma 90.00
loop_
_symmetry_equiv_pos_as_xyz
'x,y,z'
loop_
_atom_site_label
_atom_site_type_symbol
_atom_site_fract_x
_atom_site_fract_y
_atom_site_fract_z
Mo1 Mo 0.500 0.500 0.255
Mo2 Mo 0.000 0.000 0.054
Os1 Os 0.000 0.000 0.449
Ca1 Ca 0.500 0.500 0.741
```